(1)
The following is a PBE calculation of a relaxed TbNd5In6 crystal, from the Alexandria database.

a = 9.445 Å, b = 16.360 Å, c = 5.451 Å
α = 90.00°, β = 125.17°, γ = 90.00°
Space group C2/m (No. 12)
Symmetry-distinct sites (fractional):
Tb (0.000, 0.000, 0.000) x2
Nd (0.000, 0.170, 0.500) x4
Nd (0.000, 0.335, 0.000) x4
Nd (0.000, 0.500, 0.500) x2
In (0.240, 0.000, 0.740) x4
In (0.245, 0.164, 0.245) x8

## Properties
As for the raw total energy: -4.233 eV per atom. The value obtained for the density of states at the Fermi level is 0.48 states/eV/atom. The value obtained for the formation enthalpy at 0 K is -0.49 eV per atom. As for the theoretical density: 7.568 g/cm3.

---

(2)
The following is a PBE calculation of a relaxed PrNdMg17 crystal, from the Alexandria database.

a = 10.2945 Å, b = 10.2945 Å, c = 15.2546 Å
α = 90.00°, β = 90.00°, γ = 120.00°
Space group R3m (No. 160, hexagonal axes)
Symmetry-distinct sites (fractional):
Pr (0.0000, 0.0000, 0.0000) x3
Nd (0.0000, 0.0000, 0.3396) x3
Mg (0.0000, 0.0000, 0.5704) x3
Mg (0.0000, 0.0000, 0.7684) x3
Mg (0.9997, 0.3002, 0.6696) x18
Mg (0.0078, 0.5039, 0.8208) x9
Mg (0.1669, 0.3339, 0.5030) x9
Mg (0.1710, 0.3420, 0.8517) x9

## Properties
As for the raw total energy: -1.990 eV per atom. The value obtained for the density of states at the Fermi level is 0.44 states/eV/atom. The value obtained for the formation enthalpy at 0 K is -0.06 eV per atom. As for the theoretical density: 2.485 g/cm3.

---

(3)
The following is a PBE calculation of a relaxed As3Rh crystal, from the Alexandria database.

a = 6.488 Å, b = 6.488 Å, c = 6.488 Å
α = 90.00°, β = 90.00°, γ = 90.00°
Space group Fm-3m (No. 225)
Symmetry-distinct sites (fractional):
As (0.000, 0.000, 0.000) x4
As (0.250, 0.250, 0.250) x8
Rh (0.000, 0.000, 0.500) x4

## Properties
Its polymorph energy (0 for the lowest one) is 0.670 eV per atom. As for the raw total energy: -5.097 eV per atom. The value obtained for the density of states at the Fermi level is 0.66 states/eV/atom. The value obtained for the formation enthalpy at 0 K is 0.23 eV per atom. As for the theoretical density: 7.968 g/cm3.

---

(4)
The following is a PBE calculation of a relaxed Zr5NbTc4 crystal, from the Alexandria database.

a = 3.302 Å, b = 3.302 Å, c = 16.860 Å
α = 90.00°, β = 90.00°, γ = 90.00°
Space group P4/mmm (No. 123)
Symmetry-distinct sites (fractional):
Zr (0.000, 0.000, 0.000) x1
Zr (0.000, 0.000, 0.194) x2
Zr (0.000, 0.000, 0.387) x2
Nb (0.500, 0.500, 0.500) x1
Tc (0.500, 0.500, 0.098) x2
Tc (0.500, 0.500, 0.295) x2

## Properties
As for the raw total energy: -9.699 eV per atom. The value obtained for the density of states at the Fermi level is 1.15 states/eV/atom. The value obtained for the formation enthalpy at 0 K is -0.27 eV per atom. As for the theoretical density: 8.500 g/cm3.

---

(5)
The following is a PBE calculation of a relaxed PPb2S4 crystal, from the Alexandria database.

a = 6.588 Å, b = 6.588 Å, c = 10.989 Å
α = 90.00°, β = 90.00°, γ = 90.00°
Space group I-42m (No. 121)
Symmetry-distinct sites (fractional):
P (0.000, 0.000, 0.000) x2
Pb (0.000, 0.500, 0.250) x4
S (0.196, 0.196, 0.099) x8

## Properties
Its polymorph energy (0 for the lowest one) is 0.089 eV per atom. As for the raw total energy: -4.355 eV per atom. The value obtained for the density of states at the Fermi level is 0.57 states/eV/atom. As for the theoretical density: 3.995 g/cm3.

---

(6)
The following is a PBE calculation of a relaxed Cs3Ag2Au2 crystal, from the Alexandria database.

a = 13.360 Å, b = 4.904 Å, c = 9.790 Å
α = 90.00°, β = 116.82°, γ = 90.00°
Space group C2/m (No. 12)
Symmetry-distinct sites (fractional):
Cs (0.000, 0.000, 0.000) x2
Cs (0.171, 0.000, 0.629) x4
Ag (0.199, 0.500, 0.943) x4
Au (0.019, 0.500, 0.309) x4

## Properties
As for the raw total energy: -2.256 eV per atom. The value obtained for the density of states at the Fermi level is 0.26 states/eV/atom. The value obtained for the formation enthalpy at 0 K is -0.14 eV per atom. As for the theoretical density: 5.851 g/cm3.

---

(7)
The following is a PBE calculation of a relaxed BaBiS2N crystal, from the Alexandria database.

a = 5.387 Å, b = 5.387 Å, c = 4.468 Å
α = 90.00°, β = 90.00°, γ = 90.00°
Space group P4/mmm (No. 123)
Symmetry-distinct sites (fractional):
Ba (0.000, 0.000, 0.000) x1
Bi (0.500, 0.500, 0.500) x1
S (0.000, 0.500, 0.500) x2
N (0.500, 0.500, 0.000) x1

## Properties
Its polymorph energy (0 for the lowest one) is 0.000 eV per atom. As for the raw total energy: -4.686 eV per atom. The value obtained for the density of states at the Fermi level is 0.77 states/eV/atom. As for the theoretical density: 5.435 g/cm3.

---

(8)
The following is a PBE calculation of a relaxed Ho2TmPaSe4 crystal, from the Alexandria database.

a = 7.005 Å, b = 3.995 Å, c = 7.080 Å
α = 90.00°, β = 108.74°, γ = 90.00°
Space group P2/m (No. 10)
Symmetry-distinct sites (fractional):
Ho (0.000, 0.000, 0.000) x1
Ho (0.000, 0.500, 0.500) x1
Tm (0.500, 0.000, 0.500) x1
Pa (0.500, 0.500, 0.000) x1
Se (0.247, 0.000, 0.744) x2
Se (0.251, 0.500, 0.255) x2

## Properties
As for the raw total energy: -6.192 eV per atom. The value obtained for the density of states at the Fermi level is 0.82 states/eV/atom. As for the theoretical density: 9.255 g/cm3.

---

(9)
The following is a PBE calculation of a relaxed BaGe2Br6 crystal, from the Alexandria database.

a = 13.725 Å, b = 5.570 Å, c = 10.465 Å
α = 90.00°, β = 123.60°, γ = 90.00°
Space group C2/m (No. 12)
Symmetry-distinct sites (fractional):
Ba (0.000, 0.000, 0.000) x2
Ge (0.193, 0.000, 0.669) x4
Br (0.019, 0.000, 0.691) x4
Br (0.153, 0.500, 0.035) x4
Br (0.232, 0.500, 0.667) x4

## Properties
Its polymorph energy (0 for the lowest one) is 0.000 eV per atom. As for the raw total energy: -3.437 eV per atom. The value obtained for the density of states at the Fermi level is 0.00 states/eV/atom. As for the theoretical density: 3.797 g/cm3.

---

(10)
The following is a PBE calculation of a relaxed NdFe10Si2 crystal, from the Alexandria database.

a = 4.738 Å, b = 8.379 Å, c = 8.445 Å
α = 90.00°, β = 90.00°, γ = 90.00°
Space group Immm (No. 71)
Symmetry-distinct sites (fractional):
Nd (0.000, 0.000, 0.000) x2
Fe (0.000, 0.000, 0.362) x4
Fe (0.000, 0.284, 0.500) x4
Fe (0.000, 0.356, 0.000) x4
Fe (0.250, 0.250, 0.250) x8
Si (0.000, 0.500, 0.260) x4

## Properties
Its polymorph energy (0 for the lowest one) is 0.000 eV per atom. As for the raw total energy: -7.917 eV per atom. The value obtained for the density of states at the Fermi level is 0.86 states/eV/atom. As for the theoretical density: 7.518 g/cm3.

---

(11)
The following is a PBE calculation of a relaxed PaFePd crystal, from the Alexandria database.

a = 7.178 Å, b = 4.480 Å, c = 7.396 Å
α = 90.00°, β = 108.90°, γ = 90.00°
Space group C2/m (No. 12)
Symmetry-distinct sites (fractional):
Pa (0.097, 0.000, 0.314) x4
Fe (0.226, 0.000, 0.725) x4
Pd (0.139, 0.500, 0.899) x4

## Properties
Its polymorph energy (0 for the lowest one) is 0.000 eV per atom. As for the raw total energy: -7.916 eV per atom. The value obtained for the density of states at the Fermi level is 0.62 states/eV/atom. The value obtained for the formation enthalpy at 0 K is -0.20 eV per atom. As for the theoretical density: 11.608 g/cm3.

---

(12)
The following is a PBE calculation of a relaxed Tb2NiIr crystal, from the Alexandria database.

a = 5.644 Å, b = 4.103 Å, c = 7.779 Å
α = 90.00°, β = 110.16°, γ = 90.00°
Space group P2_1/m (No. 11)
Symmetry-distinct sites (fractional):
Tb (0.214, 0.250, 0.432) x2
Tb (0.216, 0.250, 0.926) x2
Ni (0.347, 0.750, 0.209) x2
Ir (0.353, 0.750, 0.715) x2

## Properties
As for the raw total energy: -6.636 eV per atom. The value obtained for the density of states at the Fermi level is 0.56 states/eV/atom. The value obtained for the formation enthalpy at 0 K is -0.66 eV per atom. As for the theoretical density: 11.169 g/cm3.

---

Looking at magnetic moment for the records above, in order, we have 0.000; 0.000; 0.000; 0.000; 0.000; 0.000; 1.176; 0.258; 0.000; 20.559; 0.000; 0.000 μB/f.u..